Record 1
Density functional theory data (SCAN) for a crystal of KVPO5 relaxed with PBEsol.

Unit cell a=12.6905 b=6.3468 c=10.4311 alpha=90.00 beta=90.00 gamma=90.00
Space group Pna2_1 (No. 33)
One atom of each set of equivalent atoms:
K1 0.1060 0.1999 0.0000 (multiplicity 4)
K2 0.1218 0.7806 0.7466 (multiplicity 4)
V1 0.1299 0.4996 0.4440 (multiplicity 4)
V2 0.2456 0.7566 0.1926 (multiplicity 4)
P1 0.0015 0.3368 0.6964 (multiplicity 4)
P2 0.1804 0.0043 0.4462 (multiplicity 4)
O1 0.0104 0.5297 0.3198 (multiplicity 4)
O2 0.0155 0.4893 0.5824 (multiplicity 4)
O3 0.0944 0.8101 0.1729 (multiplicity 4)
O4 0.1003 0.1950 0.7158 (multiplicity 4)
O5 0.1090 0.1963 0.4200 (multiplicity 4)
O6 0.1100 0.8110 0.4751 (multiplicity 4)
O7 0.2175 0.5572 0.3207 (multiplicity 4)
O8 0.2211 0.4489 0.5680 (multiplicity 4)
O9 0.2449 0.5341 0.0626 (multiplicity 4)
O10 0.2469 0.4678 0.8291 (multiplicity 4)

Properties
The energy above the lowest structure with this stoichiometry comes out at 0 meV per atom. Its crystal system is orthorhombic.

Record 2
Density functional theory data (SCAN) for a crystal of KV3P4O17 relaxed with PBEsol.

Unit cell a=7.8223 b=10.0285 c=16.3098 alpha=90.00 beta=90.00 gamma=90.00
Space group P2_12_12_1 (No. 19)
One atom of each set of equivalent atoms:
K1 0.0059 0.0607 0.1732 (multiplicity 4)
V1 0.2069 0.7492 0.4947 (multiplicity 4)
V2 0.2091 0.6831 0.1524 (multiplicity 4)
V3 0.2125 0.8186 0.8468 (multiplicity 4)
P1 0.1914 0.6295 0.6883 (multiplicity 4)
P2 0.1921 0.1310 0.8137 (multiplicity 4)
P3 0.1961 0.5669 0.9677 (multiplicity 4)
P4 0.1978 0.0649 0.5344 (multiplicity 4)
O1 0.0014 0.0959 0.5214 (multiplicity 4)
O2 0.0014 0.1174 0.7808 (multiplicity 4)
O3 0.0042 0.6786 0.1444 (multiplicity 4)
O4 0.0077 0.8186 0.8363 (multiplicity 4)
O5 0.0108 0.7514 0.4653 (multiplicity 4)
O6 0.1825 0.1689 0.9037 (multiplicity 4)
O7 0.1911 0.6661 0.5984 (multiplicity 4)
O8 0.2152 0.8889 0.9565 (multiplicity 4)
O9 0.2202 0.7615 0.2629 (multiplicity 4)
O10 0.2219 0.9165 0.5520 (multiplicity 4)
O11 0.2233 0.3865 0.5477 (multiplicity 4)
O12 0.2241 0.4198 0.9492 (multiplicity 4)
O13 0.2261 0.2614 0.2405 (multiplicity 4)
O14 0.2279 0.0068 0.3003 (multiplicity 4)
O15 0.2294 0.5070 0.2043 (multiplicity 4)
O16 0.2423 0.3564 0.3924 (multiplicity 4)
O17 0.2438 0.8623 0.1116 (multiplicity 4)

Properties
Its crystal system is orthorhombic.

Per-record total magnetic moment, μB per formula unit: 1.00, 2.00
Per-record Fermi-level density of states, states/eV/cell: 1.72, 17.16
Per-record DFT total energy, eV per atom: -11.045, -10.872